(1)
This record from Alexandria describes crystalline TbHo6Er2Sc3 at its relaxed geometry. The functional is PBE.

Summary:
Its total energy is -0.36565 Ry/atom.

```
data_TbHo6Er2Sc3
_symmetry_space_group_name_H-M 'C 1 2/m 1'
_symmetry_Int_Tables_number 12
_cell_length_a 6.0126
_cell_length_b 10.4041
_cell_length_c 11.4096
_cell_angle_alpha 90.00
_cell_angle_beta 100.09
_cell_angle_gamma 90.00
loop_
_symmetry_equiv_pos_as_xyz
'x,y,z'
'-x,-y,-z'
'-x,y,-z'
'x,-y,z'
'x+1/2,y+1/2,z'
'-x+1/2,-y+1/2,-z'
'-x+1/2,y+1/2,-z'
'x+1/2,-y+1/2,z'
loop_
_atom_site_label
_atom_site_fract_x
_atom_site_fract_y
_atom_site_fract_z
Tb1 0.0000 0.0000 0.0000
Ho1 0.2472 0.0000 0.7414
Ho2 0.2470 0.3333 0.7416
Er1 0.0000 0.3334 0.0000
Sc1 0.0000 0.1669 0.5000
Sc2 0.0000 0.5000 0.5000
```

***

(2)
This record from Alexandria describes crystalline Tb4HoErSc2 at its relaxed geometry. The functional is PBE.

Summary:
Its total energy is -0.36755 Ry/atom.

```
data_Tb4HoErSc2
_symmetry_space_group_name_H-M 'C 1 2/m 1'
_symmetry_Int_Tables_number 12
_cell_length_a 12.0554
_cell_length_b 6.9599
_cell_length_c 11.9727
_cell_angle_alpha 90.00
_cell_angle_beta 109.62
_cell_angle_gamma 90.00
loop_
_symmetry_equiv_pos_as_xyz
'x,y,z'
'-x,-y,-z'
'-x,y,-z'
'x,-y,z'
'x+1/2,y+1/2,z'
'-x+1/2,-y+1/2,-z'
'-x+1/2,y+1/2,-z'
'x+1/2,-y+1/2,z'
loop_
_atom_site_label
_atom_site_fract_x
_atom_site_fract_y
_atom_site_fract_z
Tb1 0.0016 0.2488 0.2528
Tb2 0.2469 0.0000 0.7410
Tb3 0.2501 0.0000 0.2529
Ho1 0.2500 0.2500 0.0000
Er1 0.0000 0.5000 0.0000
Er2 0.0000 0.5000 0.5000
Sc1 0.0000 0.0000 0.0000
Sc2 0.0000 0.0000 0.5000
Sc3 0.2500 0.2500 0.5000
```

***

(3)
This record from Alexandria describes crystalline Tb2Ho6ErSc3 at its relaxed geometry. The functional is PBE.

Summary:
Its total energy is -0.36608 Ry/atom.

```
data_Tb2Ho6ErSc3
_symmetry_space_group_name_H-M 'C 1 2/m 1'
_symmetry_Int_Tables_number 12
_cell_length_a 6.0193
_cell_length_b 10.4163
_cell_length_c 11.4244
_cell_angle_alpha 90.00
_cell_angle_beta 100.09
_cell_angle_gamma 90.00
loop_
_symmetry_equiv_pos_as_xyz
'x,y,z'
'-x,-y,-z'
'-x,y,-z'
'x,-y,z'
'x+1/2,y+1/2,z'
'-x+1/2,-y+1/2,-z'
'-x+1/2,y+1/2,-z'
'x+1/2,-y+1/2,z'
loop_
_atom_site_label
_atom_site_fract_x
_atom_site_fract_y
_atom_site_fract_z
Tb1 0.0000 0.1667 0.0000
Ho1 0.2469 0.1666 0.7410
Ho2 0.2467 0.5000 0.7410
Er1 0.0000 0.5000 0.0000
Sc1 0.0000 0.0000 0.5000
Sc2 0.0000 0.3334 0.5000
```